[1]
DFT (PBE) results for crystalline DyMgTl at its relaxed geometry.

Calculated values
**V**: 25.7 A^3/atom
**Density**: 8.4 g/cm3
**M_tot**: 0.00 μB per cell
**E_form**: -0.241 eV/atom
**Total energy**: -3.10 eV per atom

Cell lengths 4.9481, 4.9481, 3.6346 Å; angles 90.00, 90.00, 120.00 degrees
Space group P-6m2 (No. 187)
One atom of each set of equivalent atoms:
Dy (0.0000, 0.0000, 0.0000)
Mg (0.6667, 0.3333, 0.5000)
Tl (0.3333, 0.6667, 0.5000)

***

[2]
DFT (PBE) results for crystalline Cu2AgSb at its relaxed geometry.

Calculated values
**V**: 16.7 A^3/atom
**Density**: 8.8 g/cm3
**M_tot**: 0.00 μB per cell
**Total energy**: -3.65 eV per atom

Cell lengths 3.986, 3.986, 8.429 Å; angles 90.00, 90.00, 90.00 degrees
Space group I-4m2 (No. 119)
One atom of each set of equivalent atoms:
Cu (0.000, 0.000, 0.000)
Cu (0.000, 0.500, 0.250)
Ag (0.000, 0.000, 0.500)
Sb (0.000, 0.500, 0.750)

***

[3]
DFT (PBE) results for crystalline Tb2Er5Tm3 at its relaxed geometry.

Calculated values
**V**: 32.7 A^3/atom
**Density**: 8.4 g/cm3
**M_tot**: 0.00 μB per cell
**E_form**: 0.363 eV/atom
**Total energy**: -4.19 eV per atom

Cell lengths 12.614, 16.803, 6.177 Å; angles 90.00, 90.00, 90.00 degrees
Space group Ibam (No. 72)
One atom of each set of equivalent atoms:
Tb (0.100, 0.157, 0.000)
Er (0.000, 0.500, 0.250)
Er (0.099, 0.343, 0.000)
Er (0.249, 0.500, 0.250)
Tm (0.000, 0.000, 0.250)
Tm (0.160, 0.250, 0.500)

***

[4]
DFT (PBE) results for crystalline Ba4SrCa2 at its relaxed geometry.

Calculated values
**V**: 54.7 A^3/atom
**Density**: 3.1 g/cm3
**M_tot**: 0.00 μB per cell
**E_form**: 0.023 eV/atom
**Total energy**: -1.89 eV per atom

Cell lengths 6.7644, 6.7644, 29.0044 Å; angles 90.00, 90.00, 120.00 degrees
Space group R-3m (No. 166, hexagonal axes)
One atom of each set of equivalent atoms:
Ba (0.0000, 0.0000, 0.0689)
Ba (0.0000, 0.0000, 0.2170)
Sr (0.0000, 0.0000, 0.5000)
Ca (0.0000, 0.0000, 0.3561)

***

[5]
DFT (PBE) results for crystalline Mg5GaAu6 at its relaxed geometry.

Calculated values
**V**: 17.9 A^3/atom
**Density**: 10.6 g/cm3
**M_tot**: 0.00 μB per cell
**E_form**: -0.534 eV/atom
**Total energy**: -3.09 eV per atom

Cell lengths 14.642, 6.635, 4.668 Å; angles 90.00, 108.53, 90.00 degrees
Space group C2/m (No. 12)
One atom of each set of equivalent atoms:
Mg (0.000, 0.000, 0.000)
Mg (0.165, 0.000, 0.665)
Mg (0.171, 0.500, 0.672)
Ga (0.000, 0.500, 0.000)
Au (0.000, 0.256, 0.500)
Au (0.165, 0.255, 0.165)

***

[6]
DFT (PBE) results for crystalline Sr2Ga2Ag at its relaxed geometry.

Calculated values
**V**: 27.8 A^3/atom
**Density**: 5.1 g/cm3
**M_tot**: 0.00 μB per cell
**E_form**: -0.383 eV/atom
**Total energy**: -2.84 eV per atom

Cell lengths 11.135, 4.840, 11.643 Å; angles 90.00, 117.81, 90.00 degrees
Space group C2/m (No. 12)
One atom of each set of equivalent atoms:
Sr (0.087, 0.000, 0.386)
Sr (0.190, 0.500, 0.165)
Ga (0.072, 0.000, 0.938)
Ga (0.111, 0.500, 0.607)
Ag (0.115, 0.500, 0.847)